1.
# K2MnTl, relaxed, DFT PBE
# * E above lowest polymorph: 259 meV/atom
# * final energy: -2.833 eV per atom
# * density of states at the Fermi level: 12.31 states/eV/cell
data_K2MnTl
_chemical_formula_sum 'K8 Mn4 Tl4'
_cell_length_a 8.4215
_cell_length_b 8.4215
_cell_length_c 8.4215
_cell_angle_alpha 90.00
_cell_angle_beta 90.00
_cell_angle_gamma 90.00
_space_group_name_H-M_alt 'F m -3 m'
_space_group_IT_number 225
_space_group_name_Hall '-F 4 2 3'
loop_
_atom_site_label
_atom_site_fract_x
_atom_site_fract_y
_atom_site_fract_z
K1 0.2500 0.2500 0.2500
Mn1 0.0000 0.0000 0.0000
Tl1 0.0000 0.0000 0.5000


2.
# RbLaHg3, relaxed, DFT PBE
# * E above lowest polymorph: 0 meV/atom
# * final energy: -1.356 eV per atom
# * density of states at the Fermi level: 7.55 states/eV/cell
data_RbLaHg3
_chemical_formula_sum 'Rb1 La1 Hg3'
_cell_length_a 6.1766
_cell_length_b 6.1766
_cell_length_c 6.1766
_cell_angle_alpha 90.00
_cell_angle_beta 90.00
_cell_angle_gamma 90.00
_space_group_name_H-M_alt 'P m -3 m'
_space_group_IT_number 221
_space_group_name_Hall '-P 4 2 3'
loop_
_atom_site_label
_atom_site_fract_x
_atom_site_fract_y
_atom_site_fract_z
Rb1 0.0000 0.0000 0.0000
La1 0.5000 0.5000 0.5000
Hg1 0.0000 0.5000 0.5000


no.,ΔH_f (0 K) (eV/atom)
1,0.600
2,0.005